# Cs2ReWF6, relaxed, DFT PBE+U
# Electronic total energy   -4.9365 eV per atom
# Calculated volume   178.5 Å³/cell
data_Cs2ReWF6
_cell_length_a 6.3195
_cell_length_b 6.3195
_cell_length_c 6.3194
_cell_angle_alpha 60.00
_cell_angle_beta 60.00
_cell_angle_gamma 90.00
_symmetry_space_group_name_H-M 'P 1'
_symmetry_Int_Tables_number 1
loop_
_symmetry_equiv_pos_as_xyz
'x,y,z'
loop_
_atom_site_label
_atom_site_type_symbol
_atom_site_fract_x
_atom_site_fract_y
_atom_site_fract_z
F1 F 0.7388 0.7388 0.5223
F2 F 0.7388 0.7388 0.0000
F3 F 0.2612 0.7388 0.0000
F4 F 0.2612 0.2612 0.4777
F5 F 0.2612 0.2612 0.0000
F6 F 0.7388 0.2612 0.0000
Re1 Re 0.0000 0.0000 0.0000
W1 W 0.5000 0.5000 0.0000
Cs1 Cs 0.7500 0.2500 0.5000
Cs2 Cs 0.2500 0.7500 0.5000